No. 1
AcCoSb3 | PBE | relaxed Values from VASP.

Cell and atoms, written as Quantum ESPRESSO input:
```
&SYSTEM
  ibrav = 0, nat = 5, ntyp = 3
/
ATOMIC_SPECIES
Ac 227.00 Ac.upf
Co 58.93 Co.upf
Sb 121.76 Sb.upf
ATOMIC_POSITIONS angstrom
Ac 0.0000 0.0000 0.0000
Co 2.5607 2.5607 2.5607
Sb 0.0000 2.5607 2.5607
Sb 2.5607 0.0000 2.5607
Sb 2.5607 2.5607 0.0000
CELL_PARAMETERS angstrom
5.1213 0.0000 0.0000
0.0000 5.1213 0.0000
0.0000 0.0000 5.1213
```

Results
- space group = Pm-3m (221)
- VASP energy (Ry per atom) = -0.36362
- formation energy (no corrections) (eV per atom) = -0.23
- size of the total moment (μB per formula unit) = 1.05

No. 2
Ca4SeCl | PBE | relaxed Values from VASP.

Cell and atoms, written as Quantum ESPRESSO input:
```
&SYSTEM
  ibrav = 0, nat = 6, ntyp = 3
/
ATOMIC_SPECIES
Ca 40.08 Ca.upf
Se 78.96 Se.upf
Cl 35.45 Cl.upf
ATOMIC_POSITIONS angstrom
Ca 3.5743 3.5743 3.5743
Ca 5.9357 5.9357 3.5743
Ca 5.9357 3.5743 5.9357
Ca 3.5743 5.9357 5.9357
Se 7.1325 7.1325 7.1325
Cl 0.0000 0.0000 0.0000
CELL_PARAMETERS angstrom
0.0000 4.7550 4.7550
4.7550 0.0000 4.7550
4.7550 4.7550 0.0000
```

Results
- space group = F-43m (216)
- VASP energy (Ry per atom) = -0.17839
- formation energy (no corrections) (eV per atom) = -0.20
- size of the total moment (μB per formula unit) = 0.00

No. 3
HgRu | PBE | relaxed Values from VASP.

Cell and atoms, written as Quantum ESPRESSO input:
```
&SYSTEM
  ibrav = 0, nat = 2, ntyp = 2
/
ATOMIC_SPECIES
Hg 200.59 Hg.upf
Ru 101.07 Ru.upf
ATOMIC_POSITIONS angstrom
Hg 0.0000 0.0000 0.0000
Ru 0.0000 1.6921 2.3518
CELL_PARAMETERS angstrom
2.9307 0.0000 0.0000
-1.4654 2.5381 0.0000
0.0000 0.0000 4.7037
```

Results
- space group = P-6m2 (187)
- VASP energy (Ry per atom) = -0.30285
- ΔH_f (0 K) (kJ/mol of atoms) = 64.48
- size of the total moment (μB per formula unit) = 1.01

No. 4
TbSmAgAu | PBE | relaxed Values from VASP.

Cell and atoms, written as Quantum ESPRESSO input:
```
&SYSTEM
  ibrav = 0, nat = 16, ntyp = 4
/
ATOMIC_SPECIES
Tb 158.93 Tb.upf
Sm 150.36 Sm.upf
Ag 107.87 Ag.upf
Au 196.97 Au.upf
ATOMIC_POSITIONS angstrom
Tb 0.0000 0.0000 0.0000
Tb 0.0000 3.6607 3.6607
Tb 3.6607 0.0000 3.6607
Tb 3.6607 3.6607 0.0000
Sm 0.0000 0.0000 3.6607
Sm 0.0000 3.6607 0.0000
Sm 3.6607 0.0000 0.0000
Sm 3.6607 3.6607 3.6607
Ag 1.8303 1.8303 1.8303
Ag 1.8303 5.4910 5.4910
Ag 5.4910 1.8303 5.4910
Ag 5.4910 5.4910 1.8303
Au 1.8303 1.8303 5.4910
Au 1.8303 5.4910 1.8303
Au 5.4910 1.8303 1.8303
Au 5.4910 5.4910 5.4910
CELL_PARAMETERS angstrom
7.3214 0.0000 0.0000
0.0000 7.3214 0.0000
0.0000 0.0000 7.3214
```

Results
- space group = F-43m (216)
- VASP energy (Ry per atom) = -0.32542
- distance to the lowest polymorph of the same formula (meV/atom) = 10
- ΔH_f (0 K) (kJ/mol of atoms) = -53.85
- size of the total moment (μB per formula unit) = 0.00

No. 5
Cu2TcCl6 | PBE | relaxed Values from VASP.

Cell and atoms, written as Quantum ESPRESSO input:
```
&SYSTEM
  ibrav = 0, nat = 18, ntyp = 3
/
ATOMIC_SPECIES
Cu 63.55 Cu.upf
Tc 98.00 Tc.upf
Cl 35.45 Cl.upf
ATOMIC_POSITIONS angstrom
Cu -0.3969 0.6986 1.1654
Cu -3.3417 2.6436 6.7855
Cu 3.5978 4.0407 4.4548
Cu 0.6530 5.9857 10.0750
Tc 3.0729 0.0000 0.0000
Tc 0.1281 3.3421 5.6202
Cl -4.1589 1.0205 9.5013
Cl -1.2141 2.3216 3.8812
Cl 1.7192 4.6930 0.0821
Cl -1.2256 5.3334 5.7023
Cl 1.7220 1.0303 1.6843
Cl -1.2228 2.3118 7.3044
Cl 1.4789 4.3725 3.9359
Cl -1.4659 5.6539 9.5561
Cl 1.4818 1.3508 5.5381
Cl -1.4630 1.9913 11.1582
Cl 1.4702 4.3627 7.3592
Cl 4.4150 5.6637 1.7390
CELL_PARAMETERS angstrom
6.1457 0.0000 0.0000
0.0000 6.6843 0.0000
-5.8896 0.0000 11.2403
```

Results
- space group = P2_1/c (14)
- VASP energy (Ry per atom) = -0.28518
- formation energy (no corrections) (eV per atom) = -0.59
- size of the total moment (μB per formula unit) = 2.91

No. 6
YErGePt | PBE | relaxed Values from VASP.

Cell and atoms, written as Quantum ESPRESSO input:
```
&SYSTEM
  ibrav = 0, nat = 16, ntyp = 4
/
ATOMIC_SPECIES
Y 88.91 Y.upf
Er 167.26 Er.upf
Ge 72.64 Ge.upf
Pt 195.08 Pt.upf
ATOMIC_POSITIONS angstrom
Y 0.0000 0.0000 0.0000
Y 0.0000 3.5296 3.5296
Y 3.5296 0.0000 3.5296
Y 3.5296 3.5296 0.0000
Er 0.0000 0.0000 3.5296
Er 0.0000 3.5296 0.0000
Er 3.5296 0.0000 0.0000
Er 3.5296 3.5296 3.5296
Ge 1.7648 1.7648 1.7648
Ge 1.7648 5.2944 5.2944
Ge 5.2944 1.7648 5.2944
Ge 5.2944 5.2944 1.7648
Pt 1.7648 1.7648 5.2944
Pt 1.7648 5.2944 1.7648
Pt 5.2944 1.7648 1.7648
Pt 5.2944 5.2944 5.2944
CELL_PARAMETERS angstrom
7.0592 0.0000 0.0000
0.0000 7.0592 0.0000
0.0000 0.0000 7.0592
```

Results
- space group = F-43m (216)
- VASP energy (Ry per atom) = -0.46843
- distance to the lowest polymorph of the same formula (meV/atom) = 131
- ΔH_f (0 K) (kJ/mol of atoms) = -91.86
- size of the total moment (μB per formula unit) = 0.00

No. 7
LiTcIrRh | PBE | relaxed Values from VASP.

Cell and atoms, written as Quantum ESPRESSO input:
```
&SYSTEM
  ibrav = 0, nat = 16, ntyp = 4
/
ATOMIC_SPECIES
Li 6.94 Li.upf
Tc 98.00 Tc.upf
Ir 192.22 Ir.upf
Rh 102.91 Rh.upf
ATOMIC_POSITIONS angstrom
Li 0.0000 0.0000 0.0000
Li 0.0000 3.0284 3.0284
Li 3.0284 0.0000 3.0284
Li 3.0284 3.0284 0.0000
Tc 0.0000 0.0000 3.0284
Tc 0.0000 3.0284 0.0000
Tc 3.0284 0.0000 0.0000
Tc 3.0284 3.0284 3.0284
Ir 1.5142 1.5142 1.5142
Ir 1.5142 4.5426 4.5426
Ir 4.5426 1.5142 4.5426
Ir 4.5426 4.5426 1.5142
Rh 1.5142 1.5142 4.5426
Rh 1.5142 4.5426 1.5142
Rh 4.5426 1.5142 1.5142
Rh 4.5426 4.5426 4.5426
CELL_PARAMETERS angstrom
6.0569 0.0000 0.0000
0.0000 6.0569 0.0000
0.0000 0.0000 6.0569
```

Results
- space group = F-43m (216)
- VASP energy (Ry per atom) = -0.52194
- ΔH_f (0 K) (kJ/mol of atoms) = 2.09
- size of the total moment (μB per formula unit) = 1.73

No. 8
BaNaMg2Sn2 | PBE | relaxed Values from VASP.

Cell and atoms, written as Quantum ESPRESSO input:
```
&SYSTEM
  ibrav = 0, nat = 6, ntyp = 4
/
ATOMIC_SPECIES
Ba 137.33 Ba.upf
Na 22.99 Na.upf
Mg 24.30 Mg.upf
Sn 118.71 Sn.upf
ATOMIC_POSITIONS angstrom
Ba 0.0000 0.0000 0.0000
Na 0.0000 0.0000 4.0759
Mg 0.0000 2.9051 5.3964
Mg 2.5159 1.4525 2.7554
Sn 0.0000 2.9051 2.1898
Sn 2.5159 1.4525 5.9619
CELL_PARAMETERS angstrom
5.0317 0.0000 0.0000
-2.5159 4.3576 0.0000
0.0000 0.0000 8.1518
```

Results
- space group = P-3m1 (164)
- VASP energy (Ry per atom) = -0.20516
- ΔH_f (0 K) (kJ/mol of atoms) = -37.17
- size of the total moment (μB per formula unit) = 0.00